YGePt: relaxed, GGA-PBE.

Lattice parameters (Å, degrees): 5.0806 5.0806 5.0806 135.66 135.66 64.51
Last column: nearest neighbours and their distance in Å.
Fractional positions:
Y: 0.0000 0.0000 0.0000  5 Ge 2.83-3.09, 5 Pt 2.96-3.10
Ge: 0.3288 0.3288 0.0000  1 Pt 2.66, 1 Y 2.83
Pt: 0.6387 0.6387 0.0000  1 Ge 2.66, 4 Y 2.96

Properties
The calculation puts the energy relative to the elements at -0.66 eV/atom. The calculation puts the uncorrected energy at -6.371 eV/atom. For the mass density, the calculation gives 9.373 g/cm³.

***

Y2Ge5Pt3: relaxed, GGA-PBE.

Lattice parameters (Å, degrees): 12.4391 12.4391 7.0460 90.00 90.00 159.91
Last column: nearest neighbours and their distance in Å.
Fractional positions:
Y: 0.0207 0.9793 0.5000  3 Pt 2.83-3.06, 3 Ge 2.97-3.17
Y: 0.3259 0.6741 0.4970  9 Ge 2.99-3.29, 5 Pt 3.16-3.34
Y: 0.6741 0.3259 0.9970  9 Ge 2.99-3.29, 5 Pt 3.16-3.34
Y: 0.9793 0.0207 0.0000  3 Pt 2.83-3.06, 3 Ge 2.97-3.17
Ge: 0.1016 0.8984 0.1447  3 Pt 2.51-2.61
Ge: 0.2037 0.7963 0.6797  4 Pt 2.51-2.71
Ge: 0.2116 0.7884 0.2642  3 Pt 2.58-2.68, 1 Ge 2.82
Ge: 0.3811 0.6189 0.0229  4 Pt 2.59-2.82, 1 Ge 2.83
Ge: 0.4522 0.5478 0.3388  4 Pt 2.62-2.68, 1 Ge 2.83
Ge: 0.5478 0.4522 0.8388  4 Pt 2.62-2.68, 1 Ge 2.83
Ge: 0.6189 0.3811 0.5229  4 Pt 2.59-2.82, 1 Ge 2.83
Ge: 0.7884 0.2116 0.7642  3 Pt 2.58-2.68, 1 Ge 2.82
Ge: 0.7963 0.2037 0.1797  4 Pt 2.51-2.71
Ge: 0.8984 0.1016 0.6447  3 Pt 2.51-2.61
Pt: 0.1051 0.8949 0.7749  4 Ge 2.51-2.62
Pt: 0.2771 0.7229 0.9591  7 Ge 2.58-2.71
Pt: 0.4452 0.5548 0.7186  5 Ge 2.51-2.68
Pt: 0.5548 0.4452 0.2186  5 Ge 2.51-2.68
Pt: 0.7229 0.2771 0.4591  7 Ge 2.58-2.71
Pt: 0.8949 0.1051 0.2749  4 Ge 2.51-2.62

Properties
The calculation puts the energy relative to the elements at -0.79 eV/atom. The calculation puts the uncorrected energy at -6.203 eV/atom. For the mass density, the calculation gives 9.987 g/cm³.

***

Y3Ge4Pt7: relaxed, GGA-PBE.

Lattice parameters (Å, degrees): 8.1208 8.1208 9.5954 123.54 123.54 29.23
Last column: nearest neighbours and their distance in Å.
Fractional positions:
Y: 0.0000 0.0000 0.0000  6 Ge 3.03-3.17, 6 Pt 3.27-3.35
Y: 0.3285 0.3285 0.3325  4 Ge 3.01-3.03, 10 Pt 3.02-3.36
Y: 0.6715 0.6715 0.6675  4 Ge 3.01-3.03, 10 Pt 3.02-3.36
Ge: 0.1110 0.1110 0.8254  6 Pt 2.56-2.64
Ge: 0.3317 0.3317 0.7312  5 Pt 2.47-2.59
Ge: 0.6683 0.6683 0.2688  5 Pt 2.47-2.59
Ge: 0.8890 0.8890 0.1746  6 Pt 2.56-2.64
Pt: 0.0000 0.0000 0.5000  2 Ge 2.56
Pt: 0.1666 0.1666 0.4237  3 Ge 2.54-2.59
Pt: 0.3071 0.3071 0.9633  4 Ge 2.47-2.64
Pt: 0.4897 0.4897 0.7251  3 Ge 2.52-2.58
Pt: 0.5103 0.5103 0.2749  3 Ge 2.52-2.58
Pt: 0.6929 0.6929 0.0367  4 Ge 2.47-2.64
Pt: 0.8334 0.8334 0.5763  3 Ge 2.54-2.59

Properties
The calculation puts the energy relative to the elements at -0.95 eV/atom. The calculation puts the uncorrected energy at -6.675 eV/atom. For the mass density, the calculation gives 12.586 g/cm³.

***

YGePt6: relaxed, GGA-PBE.

Lattice parameters (Å, degrees): 7.3263 7.3263 7.3263 43.22 43.22 43.22
Last column: nearest neighbours and their distance in Å.
Fractional positions:
Y: 0.0000 0.0000 0.0000  12 Pt 3.05
Ge: 0.5000 0.5000 0.5000  6 Pt 2.47
Pt: 0.0648 0.5748 0.5748  1 Ge 2.47, 4 Pt 2.64-2.75
Pt: 0.4252 0.4252 0.9352  1 Ge 2.47, 4 Pt 2.64-2.75
Pt: 0.4252 0.9352 0.4252  1 Ge 2.47, 4 Pt 2.64-2.75
Pt: 0.5748 0.0648 0.5748  1 Ge 2.47, 4 Pt 2.64-2.75
Pt: 0.5748 0.5748 0.0648  1 Ge 2.47, 4 Pt 2.64-2.75
Pt: 0.9352 0.4252 0.4252  1 Ge 2.47, 4 Pt 2.64-2.75

Properties
The calculation puts the energy relative to the elements at -0.42 eV/atom. The distance to the lowest polymorph of the same formula comes out at 197 meV per atom. The calculation puts the uncorrected energy at -6.336 eV/atom. For the mass density, the calculation gives 13.230 g/cm³.

***

YGe2Pt: relaxed, GGA-PBE.

Lattice parameters (Å, degrees): 9.4364 9.4364 9.4364 20.86 20.86 20.86
Last column: nearest neighbours and their distance in Å.
Fractional positions:
Y: 0.0000 0.0000 0.0000  2 Ge 2.94
Ge: 0.1061 0.1061 0.1061  3 Pt 2.59
Ge: 0.8939 0.8939 0.8939  3 Pt 2.59
Pt: 0.5000 0.5000 0.5000  6 Ge 2.59

Properties
The calculation puts the energy relative to the elements at -0.06 eV/atom. The calculation puts the uncorrected energy at -5.498 eV/atom. For the mass density, the calculation gives 7.643 g/cm³.

***

Y3Ge2Pt: relaxed, GGA-PBE.

Lattice parameters (Å, degrees): 11.6125 4.2885 11.4098 90.00 90.00 90.00
Last column: nearest neighbours and their distance in Å.
Fractional positions:
Y: 0.0550 0.2500 0.1273  1 Pt 2.92, 5 Ge 2.98-3.18
Y: 0.1206 0.7500 0.5592  3 Pt 3.00-3.03, 5 Ge 3.03-3.16
Y: 0.2174 0.2500 0.8075  2 Pt 2.88, 4 Ge 2.96-3.16
Y: 0.2826 0.7500 0.3075  2 Pt 2.88, 4 Ge 2.96-3.16
Y: 0.3794 0.2500 0.0592  3 Pt 3.00-3.03, 5 Ge 3.03-3.16
Y: 0.4450 0.7500 0.6273  1 Pt 2.92, 5 Ge 2.98-3.18
Y: 0.5550 0.2500 0.3727  1 Pt 2.92, 5 Ge 2.98-3.18
Y: 0.6206 0.7500 0.9408  3 Pt 3.00-3.03, 5 Ge 3.03-3.16
Y: 0.7174 0.2500 0.6925  2 Pt 2.88, 4 Ge 2.96-3.16
Y: 0.7826 0.7500 0.1925  2 Pt 2.88, 4 Ge 2.96-3.16
Y: 0.8794 0.2500 0.4408  3 Pt 3.00-3.03, 5 Ge 3.03-3.16
Y: 0.9450 0.7500 0.8727  1 Pt 2.92, 5 Ge 2.98-3.18
Ge: 0.0104 0.7500 0.3084  2 Pt 2.65, 1 Y 2.96
Ge: 0.1864 0.7500 0.0045  1 Pt 2.63
Ge: 0.3136 0.2500 0.5045  1 Pt 2.63
Ge: 0.4896 0.2500 0.8084  2 Pt 2.65, 1 Y 2.96
Ge: 0.5104 0.7500 0.1916  2 Pt 2.65, 1 Y 2.96
Ge: 0.6864 0.7500 0.4955  1 Pt 2.63
Ge: 0.8136 0.2500 0.9955  1 Pt 2.63
Ge: 0.9896 0.2500 0.6916  2 Pt 2.65, 1 Y 2.96
Pt: 0.1289 0.2500 0.3719  3 Ge 2.63-2.65, 3 Y 2.88-2.92
Pt: 0.3711 0.7500 0.8719  3 Ge 2.63-2.65, 3 Y 2.88-2.92
Pt: 0.6289 0.2500 0.1281  3 Ge 2.63-2.65, 3 Y 2.88-2.92
Pt: 0.8711 0.7500 0.6281  3 Ge 2.63-2.65, 3 Y 2.88-2.92

Properties
The calculation puts the energy relative to the elements at -0.99 eV/atom. The calculation puts the uncorrected energy at -6.772 eV/atom. For the mass density, the calculation gives 7.097 g/cm³.

***

Y3GePt: relaxed, GGA-PBE.

Lattice parameters (Å, degrees): 5.3720 5.3720 5.3720 90.00 90.00 90.00
Last column: nearest neighbours and their distance in Å.
Fractional positions:
Y: 0.0000 0.0000 0.5000  2 Pt 2.69
Y: 0.0000 0.5000 0.0000  2 Pt 2.69
Y: 0.5000 0.0000 0.0000  2 Pt 2.69
Ge: 0.5000 0.5000 0.5000  12 Y 3.80
Pt: 0.0000 0.0000 0.0000  6 Y 2.69

Properties
The calculation puts the energy relative to the elements at -0.37 eV/atom. The distance to the lowest polymorph of the same formula comes out at 0 meV per atom. The calculation puts the uncorrected energy at -6.379 eV/atom. For the mass density, the calculation gives 5.724 g/cm³.

***

Y2Ge3Pt: relaxed, GGA-PBE.

Lattice parameters (Å, degrees): 4.0004 4.4329 7.1414 90.00 90.00 90.00
Last column: nearest neighbours and their distance in Å.
Fractional positions:
Y: 0.0000 0.0000 0.0000  2 Pt 3.05, 10 Ge 3.12-3.24
Y: 0.0000 0.5000 0.4951  8 Ge 3.06-3.22, 4 Pt 3.23
Ge: 0.5000 0.0000 0.6641  1 Pt 2.44, 2 Ge 2.50
Ge: 0.5000 0.5000 0.1706  1 Ge 2.46, 2 Pt 2.47
Ge: 0.5000 0.5000 0.8254  3 Ge 2.46-2.50
Pt: 0.5000 0.0000 0.3230  3 Ge 2.44-2.47

Properties
The calculation puts the energy relative to the elements at -0.85 eV/atom. The distance to the lowest polymorph of the same formula comes out at 0 meV per atom. The calculation puts the uncorrected energy at -6.315 eV/atom. For the mass density, the calculation gives 7.747 g/cm³.